# 1
Density functional theory data (GGA-PBE) for an optimized crystal structure of ScTiReNi.

The density of states at the Fermi level comes out at 1.328 states/eV per cell. As for the space group: F-43m (216). As for the formation energy: -0.315 eV/atom.

Cell: 4.434 4.434 4.434 Å, 60.00 60.00 60.00°
Sites, in units of the cell vectors:
Ti: 0.000 0.000 0.000
Re: 0.750 0.750 0.750
Ni: 0.250 0.250 0.250
Sc: 0.500 0.500 0.500

# 2
Density functional theory data (GGA-PBE) for an optimized crystal structure of ScTiRe2Ni.

The density of states at the Fermi level comes out at 6.272 states/eV per cell. As for the space group: P4/mmm (123). As for the formation energy: 2.113 eV/atom.

Cell: 4.566 4.434 4.566 Å, 90.00 90.00 90.00°
Site moments in Bohr magnetons follow the coordinates.
Sites, in units of the cell vectors:
Re: 0.000 0.000 0.500  -0.01
Re: 0.500 0.000 0.000  -0.01
Sc: 0.000 0.000 0.000  0.01
Ti: 0.000 0.500 0.000  0.04
Ni: 0.500 0.500 0.500  -0.06

# 3
Density functional theory data (GGA-PBE) for an optimized crystal structure of ScZnRe2Ni.

The density of states at the Fermi level comes out at 7.483 states/eV per cell. As for the space group: P4/mmm (123). As for the formation energy: 1.654 eV/atom.

Cell: 4.512 4.669 4.512 Å, 90.00 90.00 90.00°
Sites, in units of the cell vectors:
Zn: 0.000 0.000 0.000
Ni: 0.500 0.500 0.500
Re: 0.000 0.000 0.500
Re: 0.500 0.000 0.000
Sc: 0.000 0.500 0.000